Material: PmNdScCd
Method: DFT, PBE-GGA
State: relaxed

Lattice parameters (Å, degrees): 3.5862 3.5865 8.8872 90.00 89.99 90.00
Last column: nearest neighbours and their distance in Å.
Sites, in units of the cell vectors:
Nd  0.4269  0.0000  0.1394  4 Sc 3.45, 4 Nd 3.59, 4 Pm 3.66-3.67
Pm  0.9269  0.5000  0.4372  4 Cd 3.37, 4 Pm 3.59, 4 Nd 3.66-3.67
Cd  0.4271  0.0000  0.6865  4 Sc 3.05, 4 Pm 3.37
Sc  0.9270  0.5000  0.8762  4 Cd 3.05

Properties
Crystal system: tetragonal
ΔH_f (0 K) in kJ/mol of atoms: -12.1
Offset from the most stable computed form in eV/atom: 0.000

=====

Material: InSb2Pt
Method: DFT, PBE-GGA
State: relaxed

Lattice parameters (Å, degrees): 5.0434 5.0434 5.0626 69.81 69.81 108.08
Last column: nearest neighbours and their distance in Å.
Sites, in units of the cell vectors:
Pt  0.0000  0.5000  0.5000  4 Sb 2.89, 2 In 2.96
Sb  0.5000  0.5000  0.0000  2 In 2.89, 2 Pt 2.89, 2 Sb 2.96
Sb  0.0000  0.0000  0.0000  2 Pt 2.89, 2 In 2.89, 2 Sb 2.96
In  0.5000  0.0000  0.5000  4 Sb 2.89, 2 Pt 2.96

Properties
Crystal system: monoclinic
Energy relative to the elements, uncorrected in eV per atom: -0.004

=====

Material: Er4Mg4Pb7
Method: DFT, PBE-GGA
State: relaxed

Lattice parameters (Å, degrees): 6.2995 11.7112 11.7112 85.85 74.40 74.40
Last column: nearest neighbours and their distance in Å.
Sites, in units of the cell vectors:
Pb  0.5000  0.5950  0.4050  1 Pb 3.03, 4 Mg 3.09
Pb  0.9050  0.5950  0.5950  1 Pb 3.03, 4 Mg 3.09
Pb  0.0000  0.2721  0.7279  4 Er 3.07-3.42, 4 Mg 3.16
Pb  0.7279  0.2721  0.2721  4 Er 3.07-3.42, 4 Mg 3.16
Pb  0.7497  0.0000  0.0000  2 Pb 3.15, 8 Er 3.39
Pb  0.6933  0.0000  0.6135  4 Mg 2.94, 2 Er 3.08
Pb  0.0950  0.4050  0.4050  1 Pb 3.03, 4 Mg 3.09
Pb  0.3067  0.3865  0.0000  4 Mg 2.94, 2 Er 3.08
Pb  0.0000  0.7279  0.2721  4 Er 3.07-3.42, 4 Mg 3.16
Pb  0.2503  0.0000  0.0000  2 Pb 3.15, 8 Er 3.39
Pb  0.6933  0.6135  0.0000  4 Mg 2.94, 2 Er 3.08
Pb  0.3067  0.0000  0.3865  4 Mg 2.94, 2 Er 3.08
Pb  0.2721  0.7279  0.7279  4 Er 3.07-3.42, 4 Mg 3.16
Pb  0.5000  0.4050  0.5950  1 Pb 3.03, 4 Mg 3.09
Er  0.3119  0.1881  0.1881  6 Pb 3.08-3.42
Er  0.8670  0.0000  0.2659  6 Pb 3.07-3.43
Er  0.6881  0.8119  0.8119  6 Pb 3.08-3.42
Er  0.1330  0.7341  0.0000  6 Pb 3.07-3.43
Er  0.8670  0.2659  0.0000  6 Pb 3.07-3.43
Er  0.5000  0.8119  0.1881  6 Pb 3.08-3.42
Er  0.1330  0.0000  0.7341  6 Pb 3.07-3.43
Er  0.5000  0.1881  0.8119  6 Pb 3.08-3.42
Mg  0.9056  0.1888  0.5000  6 Pb 2.94-3.16, 2 Mg 3.15
Mg  0.9056  0.5000  0.1888  6 Pb 2.94-3.16, 2 Mg 3.15
Mg  0.5944  0.5000  0.8112  6 Pb 2.94-3.16, 2 Mg 3.15
Mg  0.4056  0.5000  0.1888  6 Pb 2.94-3.16, 2 Mg 3.15
Mg  0.5944  0.8112  0.5000  6 Pb 2.94-3.16, 2 Mg 3.15
Mg  0.4056  0.1888  0.5000  6 Pb 2.94-3.16, 2 Mg 3.15
Mg  0.0944  0.5000  0.8112  6 Pb 2.94-3.16, 2 Mg 3.15
Mg  0.0944  0.8112  0.5000  6 Pb 2.94-3.16, 2 Mg 3.15

Properties
Crystal system: tetragonal
ΔH_f (0 K) in kJ/mol of atoms: -25.9

=====

Material: Pr3GdRu
Method: DFT, PBE-GGA
State: relaxed

Lattice parameters (Å, degrees): 5.5785 5.5785 5.5785 90.00 90.00 90.00
Last column: nearest neighbours and their distance in Å.
Sites, in units of the cell vectors:
Pr  0.0000  0.5000  0.0000  2 Ru 2.79
Pr  0.0000  0.0000  0.5000  2 Ru 2.79
Pr  0.5000  0.0000  0.0000  2 Ru 2.79
Ru  0.0000  0.0000  0.0000  6 Pr 2.79
Gd  0.5000  0.5000  0.5000  12 Pr 3.94

Properties
Crystal system: cubic
ΔH_f (0 K) in kJ/mol of atoms: 4.1

=====

Material: Pm4Pt6O19
Method: DFT, PBE-GGA
State: relaxed

Lattice parameters (Å, degrees): 7.8242 7.8242 7.8242 109.47 109.47 109.47
Last column: nearest neighbours and their distance in Å.
Sites, in units of the cell vectors:
O  0.2495  0.6049  0.2873  2 Pt 1.99
O  0.3350  0.0000  0.3350  2 Pt 2.07
O  0.0000  0.3350  0.3350  2 Pt 2.07
O  0.0000  0.6650  0.6650  2 Pt 2.07
O  0.0379  0.3554  0.7505  2 Pt 1.99
O  0.2873  0.2495  0.6049  2 Pt 1.99
O  0.3350  0.3350  0.0000  2 Pt 2.07
O  0.0000  0.0000  0.0000  4 Pm 2.46
O  0.6824  0.3951  0.6446  2 Pt 1.99
O  0.6650  0.6650  0.0000  2 Pt 2.07
O  0.7505  0.0379  0.3554  2 Pt 1.99
O  0.6650  0.0000  0.6650  2 Pt 2.07
O  0.7127  0.3176  0.9621  2 Pt 1.99
O  0.3951  0.6446  0.6824  2 Pt 1.99
O  0.9621  0.7127  0.3176  2 Pt 1.99
O  0.3176  0.9621  0.7127  2 Pt 1.99
O  0.6049  0.2873  0.2495  2 Pt 1.99
O  0.3554  0.7505  0.0379  2 Pt 1.99
O  0.6446  0.6824  0.3951  2 Pt 1.99
Pm  0.0000  0.6861  0.0000  7 O 2.46-2.57
Pm  0.0000  0.0000  0.6861  7 O 2.46-2.57
Pm  0.6861  0.0000  0.0000  7 O 2.46-2.57
Pm  0.3139  0.3139  0.3139  7 O 2.46-2.57
Pt  0.8407  0.3407  0.5000  6 O 1.99-2.07
Pt  0.5000  0.1593  0.6593  6 O 1.99-2.07
Pt  0.5000  0.8407  0.3407  6 O 1.99-2.07
Pt  0.3407  0.5000  0.8407  6 O 1.99-2.07
Pt  0.1593  0.6593  0.5000  6 O 1.99-2.07
Pt  0.6593  0.5000  0.1593  6 O 1.99-2.07

Properties
Crystal system: cubic
Energy relative to the elements, uncorrected in eV per atom: -1.506

=====

Material: AlB2NO
Method: DFT, PBE-GGA
State: relaxed

Lattice parameters (Å, degrees): 4.3772 3.4735 4.3772 90.00 90.00 90.00
Last column: nearest neighbours and their distance in Å.
Sites, in units of the cell vectors:
O  0.0000  0.5000  0.0000  2 Al 1.74
B  0.5000  0.0000  0.0000  2 Al 2.19
B  0.0000  0.0000  0.5000  2 Al 2.19
N  0.5000  0.5000  0.5000  8 B 2.79, 4 O 3.10
Al  0.0000  0.0000  0.0000  2 O 1.74

Properties
Crystal system: tetragonal
Energy relative to the elements, uncorrected in eV per atom: 1.758

=====

Material: FeIr4Rh2
Method: DFT, PBE-GGA
State: relaxed

Lattice parameters (Å, degrees): 2.7209 2.7206 13.6145 90.00 95.74 90.00
Last column: nearest neighbours and their distance in Å.
Sites, in units of the cell vectors:
Rh  0.2082  0.5000  0.4163  6 Rh 2.64-2.72, 4 Ir 2.70
Rh  0.7918  0.5000  0.5837  6 Rh 2.64-2.72, 4 Ir 2.70
Ir  0.9330  0.5000  0.8661  4 Fe 2.64, 8 Ir 2.72-2.73
Ir  0.6385  0.0000  0.2769  4 Rh 2.70, 8 Ir 2.72-2.73
Ir  0.3615  0.0000  0.7231  4 Rh 2.70, 8 Ir 2.72-2.73
Ir  0.0670  0.5000  0.1339  4 Fe 2.64, 8 Ir 2.72-2.73
Fe  0.5000  0.0000  0.0000  8 Ir 2.64, 4 Fe 2.72

Properties
Crystal system: orthorhombic
ΔH_f (0 K) in kJ/mol of atoms: 5.2

=====

Material: HfGaCuH
Method: DFT, PBE-GGA
State: relaxed

Lattice parameters (Å, degrees): 3.8040 3.8040 6.9084 90.00 90.00 90.00
Last column: nearest neighbours and their distance in Å.
Sites, in units of the cell vectors:
H  0.5000  0.5000  0.0000  4 Hf 2.15
H  0.0000  0.0000  0.0000  4 Hf 2.15
Ga  0.5000  0.0000  0.7229  4 Cu 2.45, 4 H 2.70
Ga  0.0000  0.5000  0.2771  4 Cu 2.45, 4 H 2.70
Hf  0.5000  0.0000  0.1443  4 H 2.15
Hf  0.0000  0.5000  0.8557  4 H 2.15
Cu  0.0000  0.0000  0.5000  4 Ga 2.45, 4 Cu 2.69
Cu  0.5000  0.5000  0.5000  4 Ga 2.45, 4 Cu 2.69

Properties
Crystal system: tetragonal

=====

Material: Cs2RbGa2
Method: DFT, PBE-GGA
State: relaxed

Lattice parameters (Å, degrees): 9.3002 9.3002 6.2258 90.00 90.00 90.00
Last column: nearest neighbours and their distance in Å.
Sites, in units of the cell vectors:
Cs  0.8240  0.3240  0.5000  6 Ga 4.07-4.35
Cs  0.1760  0.6760  0.5000  6 Ga 4.07-4.35
Cs  0.3240  0.1760  0.5000  6 Ga 4.07-4.35
Cs  0.6760  0.8240  0.5000  6 Ga 4.07-4.35
Ga  0.5933  0.0933  0.0000  1 Ga 2.45
Ga  0.0933  0.4067  0.0000  1 Ga 2.45
Ga  0.4067  0.9067  0.0000  1 Ga 2.45
Ga  0.9067  0.5933  0.0000  1 Ga 2.45
Rb  0.0000  0.0000  0.0000  4 Ga 3.88
Rb  0.5000  0.5000  0.0000  4 Ga 3.88

Properties
Crystal system: tetragonal
ΔH_f (0 K) in kJ/mol of atoms: 10.3
Offset from the most stable computed form in eV/atom: 0.000

=====

Material: LiTiAg2W
Method: DFT, PBE-GGA
State: relaxed

Lattice parameters (Å, degrees): 5.2169 5.2169 4.5448 90.00 90.00 90.00
Last column: nearest neighbours and their distance in Å.
Sites, in units of the cell vectors:
W  0.0000  0.0000  0.0000  2 Ti 2.27
Ag  0.5000  0.0000  0.0000  2 W 2.61
Ag  0.0000  0.5000  0.0000  2 W 2.61
Ti  0.0000  0.0000  0.5000  2 W 2.27
Li  0.5000  0.5000  0.5000  8 Ag 3.46, 4 Ti 3.69

Properties
Crystal system: tetragonal
ΔH_f (0 K) in kJ/mol of atoms: 102.0

=====

Material: HoAl2Os
Method: DFT, PBE-GGA
State: relaxed

Lattice parameters (Å, degrees): 3.1418 3.1418 7.2302 90.00 90.00 90.00
Last column: nearest neighbours and their distance in Å.
Sites, in units of the cell vectors:
Ho  0.5000  0.5000  0.5000  4 Ho 3.14, 8 Al 3.16
Al  0.0000  0.0000  0.8114  4 Os 2.61, 1 Al 2.73
Al  0.0000  0.0000  0.1886  4 Os 2.61, 1 Al 2.73
Os  0.5000  0.5000  0.0000  8 Al 2.61

Properties
Crystal system: tetragonal
ΔH_f (0 K) in kJ/mol of atoms: -37.1

=====

Material: LiLaSeN2
Method: DFT, PBE-GGA
State: relaxed

Lattice parameters (Å, degrees): 4.4327 4.4327 6.1243 90.00 90.00 90.00
Last column: nearest neighbours and their distance in Å.
Sites, in units of the cell vectors:
Li  0.5000  0.5000  0.5000  4 Se 3.13
N  0.0000  0.5000  0.0000  2 La 2.22
N  0.5000  0.0000  0.0000  2 La 2.22
La  0.0000  0.0000  0.0000  4 N 2.22
Se  0.0000  0.0000  0.5000  2 La 3.06, 4 Li 3.13

Properties
Crystal system: tetragonal
Energy relative to the elements, uncorrected in eV per atom: 0.476
Offset from the most stable computed form in eV/atom: 0.176

=====

Number 1: volume 28.58 A^3/atom, total energy -17.268 eV per cell. Number 2: volume 24.76 A^3/atom, total energy -17.038 eV per cell. Number 3: volume 26.72 A^3/atom, total energy -109.220 eV per cell. Number 4: volume 34.72 A^3/atom, total energy -37.483 eV per cell. Number 5: volume 12.71 A^3/atom, total energy -193.140 eV per cell. Number 6: volume 13.31 A^3/atom, total energy -21.589 eV per cell. Number 7: volume 14.33 A^3/atom, total energy -58.231 eV per cell. Number 8: volume 12.50 A^3/atom, total energy -43.871 eV per cell. Number 9: volume 53.85 A^3/atom, total energy -16.393 eV per cell. Number 10: volume 24.74 A^3/atom, total energy -23.176 eV per cell. Number 11: volume 17.84 A^3/atom, total energy -24.833 eV per cell. Number 12: volume 24.07 A^3/atom, total energy -24.595 eV per cell.